1.
Entry from Alexandria via LeMat-Bulk: a relaxed structure of TcSe3N (PBE).

Properties
Symmetry: Pm-3m (221)
Crystal system: cubic
V (Å³ per cell): 117.4
ΔE_f (raw) (eV per atom): 1.321

a b c (Å): 4.8971 4.8971 4.8971
angles (deg): 90.00 90.00 90.00
Element x y z (fractional)
Se 0.5000 0.0000 0.0000
Se 0.0000 0.0000 0.5000
Se 0.0000 0.5000 0.0000
N 0.5000 0.5000 0.5000
Tc 0.0000 0.0000 0.0000

2.
Entry from Alexandria via LeMat-Bulk: a relaxed structure of Tc3SeN (PBE).

Properties
Symmetry: Pm-3m (221)
Crystal system: cubic
V (Å³ per cell): 69.0
ΔE_f (raw) (eV per atom): 0.360

a b c (Å): 4.1022 4.1022 4.1022
angles (deg): 90.00 90.00 90.00
Element x y z (fractional)
Tc 0.5000 0.0000 0.0000
Se 0.5000 0.5000 0.5000
Tc 0.0000 0.5000 0.0000
N 0.0000 0.0000 0.0000
Tc 0.0000 0.0000 0.5000

3.
Entry from Alexandria via LeMat-Bulk: a relaxed structure of TcTeSeN2 (PBE).

Properties
Symmetry: P4/mmm (123)
Crystal system: tetragonal
V (Å³ per cell): 89.3
ΔE_f (raw) (eV per atom): 0.626

a b c (Å): 3.8774 3.8774 5.9384
angles (deg): 90.00 90.00 90.00
Element x y z (fractional)
Se 0.5000 0.5000 0.5000
Tc 0.0000 0.0000 0.0000
Te 0.0000 0.0000 0.5000
N 0.0000 0.5000 0.0000
N 0.5000 0.0000 0.0000

4.
Entry from Alexandria via LeMat-Bulk: a relaxed structure of TcTeSeN2 (PBE).

Properties
Symmetry: P4/mmm (123)
Crystal system: tetragonal
V (Å³ per cell): 85.9
ΔE_f (raw) (eV per atom): 0.712

a b c (Å): 3.9206 3.9206 5.5879
angles (deg): 90.00 90.00 90.00
Element x y z (fractional)
N 0.0000 0.5000 0.0000
N 0.5000 0.0000 0.0000
Te 0.5000 0.5000 0.5000
Se 0.0000 0.0000 0.5000
Tc 0.0000 0.0000 0.0000

5.
Entry from Alexandria via LeMat-Bulk: a relaxed structure of TcTeSeN2 (PBE).

Properties
Symmetry: P4/mmm (123)
Crystal system: tetragonal
V (Å³ per cell): 92.8
ΔE_f (raw) (eV per atom): 1.705

a b c (Å): 3.9370 3.9370 5.9865
angles (deg): 90.00 90.00 90.00
Element x y z (fractional)
Se 0.0000 0.0000 0.5000
N 0.5000 0.0000 0.0000
N 0.0000 0.5000 0.0000
Tc 0.5000 0.5000 0.5000
Te 0.0000 0.0000 0.0000

6.
Entry from Alexandria via LeMat-Bulk: a relaxed structure of TcTeSeN2 (PBE).

Properties
Symmetry: P4/mmm (123)
Crystal system: tetragonal
V (Å³ per cell): 101.1
ΔE_f (raw) (eV per atom): 1.893

a b c (Å): 3.7877 3.7877 7.0492
angles (deg): 90.00 90.00 90.00
Element x y z (fractional)
N 0.0000 0.5000 0.0000
Te 0.0000 0.0000 0.5000
N 0.5000 0.0000 0.0000
Se 0.0000 0.0000 0.0000
Tc 0.5000 0.5000 0.5000

7.
Entry from Alexandria via LeMat-Bulk: a relaxed structure of TlTcSe2N (PBE).

Properties
Symmetry: P4/mmm (123)
Crystal system: tetragonal
V (Å³ per cell): 102.1
ΔE_f (raw) (eV per atom): 0.120

a b c (Å): 5.2224 5.2224 3.7422
angles (deg): 90.00 90.00 90.00
Element x y z (fractional)
Se 0.0000 0.5000 0.0000
Tl 0.5000 0.5000 0.5000
Tc 0.0000 0.0000 0.0000
Se 0.5000 0.0000 0.0000
N 0.0000 0.0000 0.5000

8.
Entry from Alexandria via LeMat-Bulk: a relaxed structure of TlTcSe2N (PBE).

Properties
Symmetry: P4/mmm (123)
Crystal system: tetragonal
V (Å³ per cell): 126.6
ΔE_f (raw) (eV per atom): 1.697

a b c (Å): 5.4780 5.4780 4.2188
angles (deg): 90.00 90.00 90.00
Element x y z (fractional)
Se 0.0000 0.5000 0.0000
Se 0.5000 0.0000 0.0000
Tc 0.5000 0.5000 0.5000
N 0.0000 0.0000 0.5000
Tl 0.0000 0.0000 0.0000

> Look up the ΔE_f (raw) of the eighth one.

1.697 eV per atom

> Which of these has the lowest ΔE_f (raw)?

number 7

> V of number 8 (TlTcSe2N)?

126.6 Å³ per cell

> What is the formula in the seventh record?

TlTcSe2N